Computed, not measured: a relaxed structure of TaCo3H at the PBE level of DFT.

Cell: 5.2005 5.2005 5.4137 Å, 105.30 105.30 49.58°
Closest atoms and distances in Å follow each position.
Fractional coordinates of all 10 atoms:
Ta  0.1335  0.1335  0.4287  9 Co 2.53-2.75
Ta  0.8665  0.8665  0.5713  9 Co 2.53-2.75
Co  0.1145  0.1145  0.9251  1 H 1.65
Co  0.3830  0.3830  0.8145  1 H 1.60
Co  0.3838  0.3838  0.3292  1 H 1.59
Co  0.6162  0.6162  0.6708  1 H 1.59
Co  0.6170  0.6170  0.1855  1 H 1.60
Co  0.8855  0.8855  0.0749  1 H 1.65
H  0.2971  0.2971  0.0291  3 Co 1.59-1.65
H  0.7029  0.7029  0.9709  3 Co 1.59-1.65

The excess energy over the best structure of this formula in the dataset comes out at 0.331 eV/atom. As for the total energy: -72.1 eV for the cell shown. The space-group type is C2/m (12).



Computed, not measured: a relaxed structure of TaCo3H at the PBE level of DFT.

Cell: 4.7155 4.7155 4.7155 Å, 90.83 90.83 90.83°
Closest atoms and distances in Å follow each position.
Fractional coordinates of all 10 atoms:
Ta  0.0000  0.0000  0.0000  2 H 2.01
Ta  0.5000  0.5000  0.5000  2 H 2.01
Co  0.0145  0.7500  0.4855  1 H 1.78
Co  0.2500  0.5145  0.9855  1 H 1.78
Co  0.4855  0.0145  0.7500  1 H 1.78
Co  0.5145  0.9855  0.2500  1 H 1.78
Co  0.7500  0.4855  0.0145  1 H 1.78
Co  0.9855  0.2500  0.5145  1 H 1.78
H  0.2500  0.2500  0.2500  3 Co 1.78
H  0.7500  0.7500  0.7500  3 Co 1.78

The excess energy over the best structure of this formula in the dataset comes out at 0.201 eV/atom. As for the total energy: -73.4 eV for the cell shown. The space-group type is R-3c (167).



Computed, not measured: a relaxed structure of TaCo3H at the PBE level of DFT.

Cell: 2.5629 6.3315 6.3315 Å, 46.13 90.00 90.00°
Closest atoms and distances in Å follow each position.
Fractional coordinates of all 5 atoms:
Ta  0.0000  0.0000  0.0000  4 Co 2.45-2.52, 2 Ta 2.56
Co  0.0000  0.4166  0.9542  2 H 1.88
Co  0.0000  0.9542  0.4166  2 H 1.88
Co  0.5000  0.8138  0.8138  1 H 1.83
H  0.5000  0.6565  0.6565  5 Co 1.83-1.88

The excess energy over the best structure of this formula in the dataset comes out at 1.020 eV/atom. As for the total energy: -32.6 eV for the cell shown. The space-group type is Amm2 (38).